## Pr2Zn5Cu5 (PBE)

Data for a geometry-optimized Pr2Zn5Cu5 structure.

```
Pr2Zn5Cu5
1.0
-3.796 -1.433 -1.130
-1.251 -0.695 5.084
-3.289 8.440 0.344
Pr Zn Cu
2 5 5
Direct
0.000 0.500 0.000 Pr
0.000 0.000 0.500 Pr
0.500 0.500 0.500 Zn
0.500 0.751 0.246 Zn
0.500 0.249 0.754 Zn
0.500 0.249 0.246 Zn
0.500 0.751 0.754 Zn
0.000 0.500 0.334 Cu
0.000 0.000 0.838 Cu
0.000 0.000 0.162 Cu
0.000 0.500 0.666 Cu
0.500 0.000 0.000 Cu
```

The magnetization is 0.00 μB per formula unit. The calculation puts the density of states at the Fermi level at 6.0 states/eV/f.u. Its energy of formation is -0.279 eV per atom.